1.
# CaSmY2Tl4

A relaxed CaSmY2Tl4 crystal (PBE, Alexandria). Values from VASP.

Geometry as Quantum ESPRESSO input:
```
&SYSTEM
  ibrav = 0, nat = 8, ntyp = 4
/
ATOMIC_SPECIES
Ca 40.08 Ca.upf
Sm 150.36 Sm.upf
Y 88.91 Y.upf
Tl 204.38 Tl.upf
CELL_PARAMETERS angstrom
2.7070 1.5629 8.9016
-2.7070 1.5629 8.9016
0.0000 -3.1258 8.9016
ATOMIC_POSITIONS crystal
Ca 0.0000 0.0000 0.0000
Sm 0.5000 0.5000 0.5000
Y 0.2523 0.2523 0.2523
Y 0.7477 0.7477 0.7477
Tl 0.1253 0.1253 0.1253
Tl 0.3754 0.3754 0.3754
Tl 0.6246 0.6246 0.6246
Tl 0.8747 0.8747 0.8747
```

Calculated values
DOS at the Fermi energy: 5.3 states/eV/cell
symmetry: R-3m, No. 166
energy of formation: -0.384 eV/atom

2.
# CaSm5Tm4

A relaxed CaSm5Tm4 crystal (PBE, Alexandria). Values from VASP.

Geometry as Quantum ESPRESSO input:
```
&SYSTEM
  ibrav = 0, nat = 10, ntyp = 3
/
ATOMIC_SPECIES
Ca 40.08 Ca.upf
Sm 150.36 Sm.upf
Tm 168.93 Tm.upf
CELL_PARAMETERS angstrom
3.5893 0.0000 0.0000
0.0000 3.5893 0.0000
0.0000 0.0000 25.4591
ATOMIC_POSITIONS crystal
Ca 0.0000 0.0000 0.0000
Sm 0.5000 0.5000 0.1109
Sm 0.5000 0.5000 0.3050
Sm 0.5000 0.5000 0.5000
Sm 0.5000 0.5000 0.6950
Sm 0.5000 0.5000 0.8891
Tm 0.0000 0.0000 0.2060
Tm 0.0000 0.0000 0.4022
Tm 0.0000 0.0000 0.5978
Tm 0.0000 0.0000 0.7940
```

Calculated values
DOS at the Fermi energy: 14.6 states/eV/cell
symmetry: P4/mmm, No. 123
energy of formation: 0.035 eV/atom

3.
# CaSmTm

A relaxed CaSmTm crystal (PBE, Alexandria). Values from VASP.

Geometry as Quantum ESPRESSO input:
```
&SYSTEM
  ibrav = 0, nat = 3, ntyp = 3
/
ATOMIC_SPECIES
Ca 40.08 Ca.upf
Sm 150.36 Sm.upf
Tm 168.93 Tm.upf
CELL_PARAMETERS angstrom
-1.8217 1.8217 7.7943
1.8217 -1.8217 7.7943
1.8217 1.8217 -7.7943
ATOMIC_POSITIONS crystal
Ca 0.0000 0.0000 0.0000
Sm 0.3212 0.3212 0.0000
Tm 0.6737 0.6737 0.0000
```

Calculated values
DOS at the Fermi energy: 4.5 states/eV/cell
energy above the most stable polymorph in this dataset: 0 meV/atom
symmetry: I4mm, No. 107
energy of formation: 0.064 eV/atom

4.
# Ca2SmTm

A relaxed Ca2SmTm crystal (PBE, Alexandria). Values from VASP.

Geometry as Quantum ESPRESSO input:
```
&SYSTEM
  ibrav = 0, nat = 4, ntyp = 3
/
ATOMIC_SPECIES
Ca 40.08 Ca.upf
Sm 150.36 Sm.upf
Tm 168.93 Tm.upf
CELL_PARAMETERS angstrom
0.0000 4.1378 4.1378
4.1378 0.0000 4.1378
4.1378 4.1378 0.0000
ATOMIC_POSITIONS crystal
Ca 0.2500 0.2500 0.2500
Ca 0.7500 0.7500 0.7500
Sm 0.0000 0.0000 0.0000
Tm 0.5000 0.5000 0.5000
```

Calculated values
DOS at the Fermi energy: 5.8 states/eV/cell
energy above the most stable polymorph in this dataset: 50 meV/atom
symmetry: Fm-3m, No. 225
energy of formation: 0.177 eV/atom

5.
# CaSm12Tm3

A relaxed CaSm12Tm3 crystal (PBE, Alexandria). Values from VASP.

Geometry as Quantum ESPRESSO input:
```
&SYSTEM
  ibrav = 0, nat = 16, ntyp = 3
/
ATOMIC_SPECIES
Ca 40.08 Ca.upf
Sm 150.36 Sm.upf
Tm 168.93 Tm.upf
CELL_PARAMETERS angstrom
5.1107 0.0000 0.0000
0.0000 5.1107 0.0000
0.0000 0.0000 20.4209
ATOMIC_POSITIONS crystal
Ca 0.0000 0.0000 0.0000
Sm 0.0000 0.5000 0.1306
Sm 0.0000 0.5000 0.3766
Sm 0.0000 0.5000 0.6234
Sm 0.0000 0.5000 0.8694
Sm 0.5000 0.0000 0.1306
Sm 0.5000 0.0000 0.3766
Sm 0.5000 0.0000 0.6234
Sm 0.5000 0.0000 0.8694
Sm 0.5000 0.5000 0.0000
Sm 0.5000 0.5000 0.2517
Sm 0.5000 0.5000 0.5000
Sm 0.5000 0.5000 0.7483
Tm 0.0000 0.0000 0.2520
Tm 0.0000 0.0000 0.5000
Tm 0.0000 0.0000 0.7480
```

Calculated values
DOS at the Fermi energy: 24.1 states/eV/cell
symmetry: P4/mmm, No. 123
energy of formation: 0.034 eV/atom

6.
# CaSm8Tm4

A relaxed CaSm8Tm4 crystal (PBE, Alexandria). Values from VASP.

Geometry as Quantum ESPRESSO input:
```
&SYSTEM
  ibrav = 0, nat = 13, ntyp = 3
/
ATOMIC_SPECIES
Ca 40.08 Ca.upf
Sm 150.36 Sm.upf
Tm 168.93 Tm.upf
CELL_PARAMETERS angstrom
5.6883 -2.5457 0.0000
5.6883 2.5457 0.0000
-1.0702 0.0000 14.8023
ATOMIC_POSITIONS crystal
Ca 0.0000 0.0000 0.0000
Sm 0.0761 0.0761 0.7650
Sm 0.2339 0.2339 0.3101
Sm 0.3069 0.3069 0.0808
Sm 0.4605 0.4605 0.6141
Sm 0.5395 0.5395 0.3859
Sm 0.6931 0.6931 0.9192
Sm 0.7661 0.7661 0.6899
Sm 0.9239 0.9239 0.2350
Tm 0.1523 0.1523 0.5372
Tm 0.3787 0.3787 0.8404
Tm 0.6213 0.6213 0.1596
Tm 0.8477 0.8477 0.4628
```

Calculated values
DOS at the Fermi energy: 18.7 states/eV/cell
symmetry: C2/m, No. 12
energy of formation: 0.044 eV/atom

7.
# CaSm6Tm6

A relaxed CaSm6Tm6 crystal (PBE, Alexandria). Values from VASP.

Geometry as Quantum ESPRESSO input:
```
&SYSTEM
  ibrav = 0, nat = 13, ntyp = 3
/
ATOMIC_SPECIES
Ca 40.08 Ca.upf
Sm 150.36 Sm.upf
Tm 168.93 Tm.upf
CELL_PARAMETERS angstrom
6.7437 0.0000 0.0000
-3.3719 5.8402 0.0000
0.0000 0.0000 11.3484
ATOMIC_POSITIONS crystal
Ca 0.0000 0.0000 0.0000
Sm 0.0000 0.0000 0.3456
Sm 0.0000 0.0000 0.6544
Sm 0.3333 0.6667 0.0000
Sm 0.3333 0.6667 0.5000
Sm 0.6667 0.3333 0.0000
Sm 0.6667 0.3333 0.5000
Tm 0.0000 0.5000 0.2477
Tm 0.0000 0.5000 0.7523
Tm 0.5000 0.0000 0.2477
Tm 0.5000 0.0000 0.7523
Tm 0.5000 0.5000 0.2477
Tm 0.5000 0.5000 0.7523
```

Calculated values
DOS at the Fermi energy: 26.7 states/eV/cell
symmetry: P6/mmm, No. 191
energy of formation: 0.257 eV/atom

8.
# CaSm12Tm7

A relaxed CaSm12Tm7 crystal (PBE, Alexandria). Values from VASP.

Geometry as Quantum ESPRESSO input:
```
&SYSTEM
  ibrav = 0, nat = 20, ntyp = 3
/
ATOMIC_SPECIES
Ca 40.08 Ca.upf
Sm 150.36 Sm.upf
Tm 168.93 Tm.upf
CELL_PARAMETERS angstrom
-5.7676 5.7676 5.7676
5.7676 -5.7676 5.7676
5.7676 5.7676 -5.7676
ATOMIC_POSITIONS crystal
Ca 0.0000 0.0000 0.0000
Sm 0.0000 0.2658 0.7342
Sm 0.0000 0.7342 0.2658
Sm 0.2658 0.0000 0.7342
Sm 0.2658 0.2658 0.5315
Sm 0.2658 0.5315 0.2658
Sm 0.2658 0.7342 0.0000
Sm 0.4685 0.7342 0.7342
Sm 0.5315 0.2658 0.2658
Sm 0.7342 0.0000 0.2658
Sm 0.7342 0.2658 0.0000
Sm 0.7342 0.4685 0.7342
Sm 0.7342 0.7342 0.4685
Tm 0.0000 0.0000 0.5000
Tm 0.0000 0.5000 0.0000
Tm 0.0000 0.5000 0.5000
Tm 0.5000 0.0000 0.0000
Tm 0.5000 0.0000 0.5000
Tm 0.5000 0.5000 0.0000
Tm 0.5000 0.5000 0.5000
```

Calculated values
DOS at the Fermi energy: 24.6 states/eV/cell
symmetry: Im-3m, No. 229
energy of formation: 0.658 eV/atom

> The highest DOS at the Fermi energy belongs to which entry?

CaSm6Tm6

Repeat the third record exactly.
# CaSmTm

A relaxed CaSmTm crystal (PBE, Alexandria). Values from VASP.

Geometry as Quantum ESPRESSO input:
```
&SYSTEM
  ibrav = 0, nat = 3, ntyp = 3
/
ATOMIC_SPECIES
Ca 40.08 Ca.upf
Sm 150.36 Sm.upf
Tm 168.93 Tm.upf
CELL_PARAMETERS angstrom
-1.8217 1.8217 7.7943
1.8217 -1.8217 7.7943
1.8217 1.8217 -7.7943
ATOMIC_POSITIONS crystal
Ca 0.0000 0.0000 0.0000
Sm 0.3212 0.3212 0.0000
Tm 0.6737 0.6737 0.0000
```

Calculated values
DOS at the Fermi energy: 4.5 states/eV/cell
energy above the most stable polymorph in this dataset: 0 meV/atom
symmetry: I4mm, No. 107
energy of formation: 0.064 eV/atom

Please write out number 8 again, unchanged.
# CaSm12Tm7

A relaxed CaSm12Tm7 crystal (PBE, Alexandria). Values from VASP.

Geometry as Quantum ESPRESSO input:
```
&SYSTEM
  ibrav = 0, nat = 20, ntyp = 3
/
ATOMIC_SPECIES
Ca 40.08 Ca.upf
Sm 150.36 Sm.upf
Tm 168.93 Tm.upf
CELL_PARAMETERS angstrom
-5.7676 5.7676 5.7676
5.7676 -5.7676 5.7676
5.7676 5.7676 -5.7676
ATOMIC_POSITIONS crystal
Ca 0.0000 0.0000 0.0000
Sm 0.0000 0.2658 0.7342
Sm 0.0000 0.7342 0.2658
Sm 0.2658 0.0000 0.7342
Sm 0.2658 0.2658 0.5315
Sm 0.2658 0.5315 0.2658
Sm 0.2658 0.7342 0.0000
Sm 0.4685 0.7342 0.7342
Sm 0.5315 0.2658 0.2658
Sm 0.7342 0.0000 0.2658
Sm 0.7342 0.2658 0.0000
Sm 0.7342 0.4685 0.7342
Sm 0.7342 0.7342 0.4685
Tm 0.0000 0.0000 0.5000
Tm 0.0000 0.5000 0.0000
Tm 0.0000 0.5000 0.5000
Tm 0.5000 0.0000 0.0000
Tm 0.5000 0.0000 0.5000
Tm 0.5000 0.5000 0.0000
Tm 0.5000 0.5000 0.5000
```

Calculated values
DOS at the Fermi energy: 24.6 states/eV/cell
symmetry: Im-3m, No. 229
energy of formation: 0.658 eV/atom

Repeat the seventh record exactly.
# CaSm6Tm6

A relaxed CaSm6Tm6 crystal (PBE, Alexandria). Values from VASP.

Geometry as Quantum ESPRESSO input:
```
&SYSTEM
  ibrav = 0, nat = 13, ntyp = 3
/
ATOMIC_SPECIES
Ca 40.08 Ca.upf
Sm 150.36 Sm.upf
Tm 168.93 Tm.upf
CELL_PARAMETERS angstrom
6.7437 0.0000 0.0000
-3.3719 5.8402 0.0000
0.0000 0.0000 11.3484
ATOMIC_POSITIONS crystal
Ca 0.0000 0.0000 0.0000
Sm 0.0000 0.0000 0.3456
Sm 0.0000 0.0000 0.6544
Sm 0.3333 0.6667 0.0000
Sm 0.3333 0.6667 0.5000
Sm 0.6667 0.3333 0.0000
Sm 0.6667 0.3333 0.5000
Tm 0.0000 0.5000 0.2477
Tm 0.0000 0.5000 0.7523
Tm 0.5000 0.0000 0.2477
Tm 0.5000 0.0000 0.7523
Tm 0.5000 0.5000 0.2477
Tm 0.5000 0.5000 0.7523
```

Calculated values
DOS at the Fermi energy: 26.7 states/eV/cell
symmetry: P6/mmm, No. 191
energy of formation: 0.257 eV/atom